The following is a GGA-PBE calculation of a relaxed structure of Pa2Fe9Si6, from Alexandria.

SG = No. 191
uncorrected formation energy = -0.289 eV/atom
final energy = -7.801 eV/atom
calculated volume = 247.2 Å³/cell

Cell: 5.103 5.103 10.958 Å, 90.00 90.00 120.00°
Fractional coordinates of all 17 atoms:
Pa (0.000, 0.000, 0.183)
Pa (0.000, 0.000, 0.817)
Fe (0.000, 0.500, 0.000)
Fe (0.000, 0.500, 0.331)
Fe (0.000, 0.500, 0.669)
Fe (0.500, 0.000, 0.000)
Fe (0.500, 0.000, 0.331)
Fe (0.500, 0.000, 0.669)
Fe (0.500, 0.500, 0.000)
Fe (0.500, 0.500, 0.331)
Fe (0.500, 0.500, 0.669)
Si (0.333, 0.667, 0.163)
Si (0.333, 0.667, 0.500)
Si (0.333, 0.667, 0.837)
Si (0.667, 0.333, 0.163)
Si (0.667, 0.333, 0.500)
Si (0.667, 0.333, 0.837)